# Y6Si2Se3S | Alexandria via LeMat-Bulk | PBE-GGA | optimized geometry
# total energy: -6.904 eV/atom
data_Y6Si2Se3S
_chemical_formula_sum 'Y12 Si4 Se6 S2'
_cell_length_a 17.8755
_cell_length_b 4.0762
_cell_length_c 8.2123
_cell_angle_alpha 90.00
_cell_angle_beta 103.97
_cell_angle_gamma 90.00
_space_group_name_H-M_alt 'C 1 2/m 1'
_space_group_IT_number 12
_space_group_name_Hall '-C 2y'
loop_
_atom_site_label
_atom_site_fract_x
_atom_site_fract_y
_atom_site_fract_z
Y1 0.0059 0.0000 0.2437
Y2 0.1643 0.5000 0.0945
Y3 0.1694 0.5000 0.5747
Si1 0.1662 0.0000 0.3312
Se1 0.0000 0.5000 0.5000
Se2 0.1645 0.0000 0.8347
S1 0.0000 0.5000 0.0000